# 1
Here is crystalline NpTlIrO6 at its relaxed geometry from Alexandria. Energies are from PBE.

a = 7.2588 Å, b = 7.8592 Å, c = 10.5714 Å
α = 90.00°, β = 90.00°, γ = 90.00°
Space group Imma (No. 74)
Asymmetric unit:
Np1 0.0000 0.0000 0.0000 x4
Tl1 0.0000 0.2500 0.4207 x4
Ir1 0.2500 0.2500 0.7500 x4
O1 0.0000 0.2500 0.0732 x4
O2 0.0000 0.2500 0.6875 x4
O3 0.1992 0.0699 0.8777 x16

Values from the calculation:
Formation energy (no corrections) in eV per atom: -1.6273
Total moment in μB per formula unit: 0.04

=====

# 2
Here is crystalline NpZnIrO6 at its relaxed geometry from Alexandria. Energies are from PBE.

a = 5.2574 Å, b = 5.2574 Å, c = 8.9229 Å
α = 90.00°, β = 90.00°, γ = 120.00°
Space group P-31c (No. 163)
Asymmetric unit:
Np1 0.3333 0.6667 0.2500 x2
Zn1 0.3333 0.6667 0.7500 x2
Ir1 0.0000 0.0000 0.0000 x2
O1 0.0088 0.3250 0.1249 x12

Values from the calculation:
Formation energy (no corrections) in eV per atom: -1.6449
Total moment in μB per formula unit: 0.29

=====

# 3
Here is crystalline NpIr2Os at its relaxed geometry from Alexandria. Energies are from PBE.

a = 3.9907 Å, b = 3.9907 Å, c = 4.1032 Å
α = 90.00°, β = 90.00°, γ = 90.00°
Space group P4/mmm (No. 123)
Asymmetric unit:
Np1 0.0000 0.0000 0.0000 x1
Ir1 0.0000 0.5000 0.5000 x2
Os1 0.5000 0.5000 0.0000 x1

Values from the calculation:
Formation energy in eV/atom: -0.245
Total moment in μB per formula unit: 1.31

=====

What is the formula in the second record? NpZnIrO6

=====

The highest total moment belongs to which entry? NpIr2Os